Entry from Alexandria: a relaxed Ti8Re2Mo crystal (PBE-GGA).

Results
Its symmetry is No. 12. For the size of the total moment, the calculation gives 0.0 μB per cell. For the total energy, the calculation gives -9.18 eV per atom. The value obtained for the formation energy is -190 meV per atom. The density is 7.89 g cm⁻³.

Cell lengths 4.5136, 6.9189, 7.1838 Å; angles 120.90, 108.31, 90.00 degrees
Closest atoms and distances in Å follow each position.
Positions (direct):
1 Ti 0.5991 0.7464 0.1982  3 Re 2.65-2.71, 1 Mo 2.73, 2 Ti 2.90
2 Ti 0.3188 0.5787 0.6376  1 Re 2.59, 1 Mo 2.61, 4 Ti 2.76
3 Ti 0.1376 0.0856 0.2751  3 Re 2.69-2.78, 2 Mo 2.79, 3 Ti 2.89-2.94
4 Ti 0.0585 0.3976 0.1171  1 Re 2.55, 3 Ti 2.65-2.76
5 Ti 0.8624 0.9144 0.7249  3 Re 2.69-2.78, 2 Mo 2.79, 3 Ti 2.89-2.94
6 Ti 0.6812 0.4213 0.3624  1 Re 2.59, 1 Mo 2.61, 4 Ti 2.76
7 Ti 0.4009 0.2536 0.8018  3 Re 2.65-2.71, 1 Mo 2.73, 2 Ti 2.90
8 Ti 0.9415 0.6024 0.8829  1 Re 2.55, 3 Ti 2.65-2.76
9 Re 0.2249 0.8186 0.4498  8 Ti 2.55-2.78
10 Re 0.7751 0.1814 0.5502  8 Ti 2.55-2.78
11 Mo 0.5000 0.0000 0.0000  8 Ti 2.61-2.79